The following is a DFT calculation (GGA-PBEsol) of an optimized crystal structure of YAu2Cl.

Values from the calculation:
Energy   -4.97 eV per atom

Unit cell a=4.2718 b=4.2718 c=18.4314 alpha=90.00 beta=90.00 gamma=120.00
Space group R3m (No. 160, hexagonal axes)
Inequivalent atoms, fractional coordinates:
Y: 0.0000 0.0000 0.0000 [3 per cell]
Au: 0.0000 0.0000 0.2592 [3 per cell]
Au: 0.0000 0.0000 0.5352 [3 per cell]
Cl: 0.0000 0.0000 0.7442 [3 per cell]

The following is a DFT calculation (GGA-PBEsol) of an optimized crystal structure of Sc2BeP.

Values from the calculation:
Formation enthalpy at 0 K   -43.1 kJ/mol of atoms
Offset from the most stable computed form   42.49 kJ per mole of atoms

Unit cell a=6.307 b=6.307 c=6.307 alpha=90.00 beta=90.00 gamma=90.00
Space group Fm-3m (No. 225)
Inequivalent atoms, fractional coordinates:
Sc: 0.250 0.250 0.250 [8 per cell]
Be: 0.000 0.000 0.000 [4 per cell]
P: 0.000 0.000 0.500 [4 per cell]

The following is a DFT calculation (GGA-PBEsol) of an optimized crystal structure of CaTe2Mo.

Values from the calculation:
Offset from the most stable computed form   6.62 kJ per mole of atoms

Unit cell a=9.173 b=3.511 c=6.813 alpha=90.00 beta=110.35 gamma=90.00
Space group Cm (No. 8)
Inequivalent atoms, fractional coordinates:
Ca: 0.000 0.000 0.000 [2 per cell]
Te: 0.109 0.500 0.647 [2 per cell]
Te: 0.287 0.500 0.270 [2 per cell]
Mo: 0.304 0.000 0.588 [2 per cell]

The following is a DFT calculation (GGA-PBEsol) of an optimized crystal structure of Mg3Zr2.

Values from the calculation:
Formation enthalpy at 0 K   40.4 kJ/mol of atoms
Offset from the most stable computed form   35.14 kJ per mole of atoms

Unit cell a=4.8812 b=4.8812 c=6.1316 alpha=90.00 beta=90.00 gamma=120.00
Space group P-3m1 (No. 164)
Inequivalent atoms, fractional coordinates:
Mg: 0.0000 0.0000 0.0000 [1 per cell]
Mg: 0.3333 0.6667 0.3520 [2 per cell]
Zr: 0.3333 0.6667 0.8689 [2 per cell]

Copy entry 1 word for word.
The following is a DFT calculation (GGA-PBEsol) of an optimized crystal structure of YAu2Cl.

Values from the calculation:
Energy   -4.97 eV per atom

Unit cell a=4.2718 b=4.2718 c=18.4314 alpha=90.00 beta=90.00 gamma=120.00
Space group R3m (No. 160, hexagonal axes)
Inequivalent atoms, fractional coordinates:
Y: 0.0000 0.0000 0.0000 [3 per cell]
Au: 0.0000 0.0000 0.2592 [3 per cell]
Au: 0.0000 0.0000 0.5352 [3 per cell]
Cl: 0.0000 0.0000 0.7442 [3 per cell]

Copy entry 3 word for word.
The following is a DFT calculation (GGA-PBEsol) of an optimized crystal structure of CaTe2Mo.

Values from the calculation:
Offset from the most stable computed form   6.62 kJ per mole of atoms

Unit cell a=9.173 b=3.511 c=6.813 alpha=90.00 beta=110.35 gamma=90.00
Space group Cm (No. 8)
Inequivalent atoms, fractional coordinates:
Ca: 0.000 0.000 0.000 [2 per cell]
Te: 0.109 0.500 0.647 [2 per cell]
Te: 0.287 0.500 0.270 [2 per cell]
Mo: 0.304 0.000 0.588 [2 per cell]

- Which formula does entry 2 have?
  Sc2BeP